Record 1
This record from Alexandria via LeMat-Bulk describes crystalline Tm3TeS at its relaxed geometry. The functional is PBE-GGA.

Cell: 5.770 5.228 8.086 Å, 90.00 90.00 90.00°
Space group Pmma (No. 51)
Asymmetric unit:
Tm 0.000 0.000 0.000 [2 per cell]
Tm 0.250 0.000 0.372 [2 per cell]
Tm 0.250 0.500 0.707 [2 per cell]
Te 0.250 0.500 0.139 [2 per cell]
S 0.250 0.000 0.700 [2 per cell]

Calculated values
- energy above the most stable polymorph in this dataset (meV per atom) = 30
- uncorrected formation energy (eV per atom) = -1.02
- density of states at the Fermi level (states/eV/f.u.) = 3.2

Record 2
This record from Alexandria via LeMat-Bulk describes crystalline Pr2Sm6Er at its relaxed geometry. The functional is PBE-GGA.

Cell: 16.685 11.811 6.214 Å, 90.00 96.50 90.00°
Space group C2/c (No. 15)
Asymmetric unit:
Pr 0.168 0.101 0.075 [8 per cell]
Sm 0.048 0.141 0.513 [8 per cell]
Sm 0.114 0.360 0.821 [8 per cell]
Sm 0.209 0.364 0.354 [8 per cell]
Er 0.000 0.401 0.250 [4 per cell]

Calculated values
- energy above the most stable polymorph in this dataset (meV per atom) = 40
- density of states at the Fermi level (states/eV/f.u.) = 12.8
- energy relative to the elements (eV per atom) = 0.086

Record 3
This record from Alexandria via LeMat-Bulk describes crystalline HoAlOs at its relaxed geometry. The functional is PBE-GGA.

Cell: 3.287 3.287 10.412 Å, 90.00 90.00 90.00°
Space group I4mm (No. 107)
Asymmetric unit:
Ho 0.000 0.000 0.000 [2 per cell]
Al 0.000 0.000 0.287 [2 per cell]
Os 0.000 0.000 0.677 [2 per cell]

Calculated values
- density of states at the Fermi level (states/eV/f.u.) = 0.8
- energy relative to the elements (eV per atom) = -0.352

Record 4
This record from Alexandria via LeMat-Bulk describes crystalline RuI4 at its relaxed geometry. The functional is PBE-GGA.

Cell: 6.411 8.018 6.822 Å, 90.00 90.76 90.00°
Space group P2/c (No. 13)
Asymmetric unit:
Ru 0.000 0.140 0.250 [2 per cell]
I 0.229 0.111 0.580 [4 per cell]
I 0.248 0.369 0.107 [4 per cell]

Calculated values
- energy above the most stable polymorph in this dataset (meV per atom) = 2
- uncorrected formation energy (eV per atom) = 0.00
- density of states at the Fermi level (states/eV/f.u.) = 6.4

Record 5
This record from Alexandria via LeMat-Bulk describes crystalline Li5Zn5Ir2 at its relaxed geometry. The functional is PBE-GGA.

Cell: 7.596 4.376 11.683 Å, 90.00 102.59 90.00°
Space group C2/m (No. 12)
Asymmetric unit:
Li 0.000 0.000 0.000 [2 per cell]
Li 0.206 0.000 0.601 [4 per cell]
Li 0.219 0.500 0.173 [4 per cell]
Zn 0.000 0.500 0.500 [2 per cell]
Zn 0.088 0.000 0.287 [4 per cell]
Zn 0.143 0.500 0.934 [4 per cell]
Ir 0.081 0.500 0.715 [4 per cell]

Calculated values
- density of states at the Fermi level (states/eV/f.u.) = 3.6
- energy relative to the elements (eV per atom) = -0.214

Record 6
This record from Alexandria via LeMat-Bulk describes crystalline K3LiBi at its relaxed geometry. The functional is PBE-GGA.

Cell: 6.311 11.041 11.861 Å, 90.00 90.00 90.00°
Space group Cmcm (No. 63)
Asymmetric unit:
K 0.000 0.160 0.250 [4 per cell]
K 0.000 0.168 0.574 [8 per cell]
Li 0.000 0.495 0.250 [4 per cell]
Bi 0.000 0.500 0.000 [4 per cell]

Calculated values
- energy above the most stable polymorph in this dataset (meV per atom) = 0
- density of states at the Fermi level (states/eV/f.u.) = 3.1
- energy relative to the elements (eV per atom) = -0.228